Entry 1:
# Tm12Zr3In5 (PBE, relaxed)
# Energy of formation from the pure elements ... 0.573 eV/atom
# SG ... Ia-3d
data_Tm12Zr3In5
_cell_length_a 15.402
_cell_length_b 15.402
_cell_length_c 15.402
_cell_angle_alpha 109.47
_cell_angle_beta 109.47
_cell_angle_gamma 109.47
_space_group_name_H-M_alt 'P 1'
_space_group_IT_number 1
loop_
_space_group_symop_operation_xyz
'x,y,z'
loop_
_atom_site_label
_atom_site_type_symbol
_atom_site_fract_x
_atom_site_fract_y
_atom_site_fract_z
Tm1 Tm 0.065 0.228 0.134
Tm2 Tm 0.065 0.337 0.931
Tm3 Tm 0.069 0.634 0.406
Tm4 Tm 0.069 0.935 0.663
Tm5 Tm 0.094 0.728 0.663
Tm6 Tm 0.094 0.866 0.431
Tm7 Tm 0.134 0.065 0.228
Tm8 Tm 0.134 0.569 0.906
Tm9 Tm 0.163 0.228 0.594
Tm10 Tm 0.163 0.435 0.569
Tm11 Tm 0.228 0.134 0.065
Tm12 Tm 0.228 0.594 0.163
Tm13 Tm 0.272 0.337 0.906
Tm14 Tm 0.272 0.435 0.366
Tm15 Tm 0.337 0.906 0.272
Tm16 Tm 0.337 0.931 0.065
Tm17 Tm 0.366 0.272 0.435
Tm18 Tm 0.366 0.594 0.931
Tm19 Tm 0.406 0.069 0.634
Tm20 Tm 0.406 0.837 0.772
Tm21 Tm 0.431 0.094 0.866
Tm22 Tm 0.431 0.837 0.565
Tm23 Tm 0.435 0.366 0.272
Tm24 Tm 0.435 0.569 0.163
Tm25 Tm 0.565 0.431 0.837
Tm26 Tm 0.565 0.634 0.728
Tm27 Tm 0.569 0.163 0.435
Tm28 Tm 0.569 0.906 0.134
Tm29 Tm 0.594 0.163 0.228
Tm30 Tm 0.594 0.931 0.366
Tm31 Tm 0.634 0.406 0.069
Tm32 Tm 0.634 0.728 0.565
Tm33 Tm 0.663 0.069 0.935
Tm34 Tm 0.663 0.094 0.728
Tm35 Tm 0.728 0.565 0.634
Tm36 Tm 0.728 0.663 0.094
Tm37 Tm 0.772 0.406 0.837
Tm38 Tm 0.772 0.866 0.935
Tm39 Tm 0.837 0.565 0.431
Tm40 Tm 0.837 0.772 0.406
Tm41 Tm 0.866 0.431 0.094
Tm42 Tm 0.866 0.935 0.772
Tm43 Tm 0.906 0.134 0.569
Tm44 Tm 0.906 0.272 0.337
Tm45 Tm 0.931 0.065 0.337
Tm46 Tm 0.931 0.366 0.594
Tm47 Tm 0.935 0.663 0.069
Tm48 Tm 0.935 0.772 0.866
Zr1 Zr 0.125 0.250 0.375
Zr2 Zr 0.125 0.375 0.750
Zr3 Zr 0.250 0.375 0.125
Zr4 Zr 0.250 0.875 0.625
Zr5 Zr 0.375 0.125 0.250
Zr6 Zr 0.375 0.750 0.125
Zr7 Zr 0.625 0.250 0.875
Zr8 Zr 0.625 0.875 0.750
Zr9 Zr 0.750 0.125 0.375
Zr10 Zr 0.750 0.625 0.875
Zr11 Zr 0.875 0.625 0.250
Zr12 Zr 0.875 0.750 0.625
In1 In 0.000 0.000 0.000
In2 In 0.000 0.000 0.500
In3 In 0.000 0.500 0.000
In4 In 0.000 0.500 0.500
In5 In 0.125 0.750 0.875
In6 In 0.125 0.875 0.250
In7 In 0.250 0.125 0.875
In8 In 0.250 0.625 0.375
In9 In 0.375 0.250 0.625
In10 In 0.375 0.625 0.750
In11 In 0.500 0.000 0.000
In12 In 0.500 0.000 0.500
In13 In 0.500 0.500 0.000
In14 In 0.500 0.500 0.500
In15 In 0.625 0.375 0.250
In16 In 0.625 0.750 0.375
In17 In 0.750 0.375 0.625
In18 In 0.750 0.875 0.125
In19 In 0.875 0.125 0.750
In20 In 0.875 0.250 0.125

***

Entry 2:
# UIn6 (PBE, relaxed)
# Energy of formation from the pure elements ... 0.737 eV/atom
# SG ... Im-3m
data_UIn6
_cell_length_a 7.926
_cell_length_b 7.926
_cell_length_c 7.926
_cell_angle_alpha 90.00
_cell_angle_beta 90.00
_cell_angle_gamma 90.00
_space_group_name_H-M_alt 'P 1'
_space_group_IT_number 1
loop_
_space_group_symop_operation_xyz
'x,y,z'
loop_
_atom_site_label
_atom_site_type_symbol
_atom_site_fract_x
_atom_site_fract_y
_atom_site_fract_z
U1 U 0.000 0.000 0.000
U2 U 0.500 0.500 0.500
In1 In 0.000 0.250 0.500
In2 In 0.000 0.500 0.250
In3 In 0.000 0.500 0.750
In4 In 0.000 0.750 0.500
In5 In 0.250 0.000 0.500
In6 In 0.250 0.500 0.000
In7 In 0.500 0.000 0.250
In8 In 0.500 0.000 0.750
In9 In 0.500 0.250 0.000
In10 In 0.500 0.750 0.000
In11 In 0.750 0.000 0.500
In12 In 0.750 0.500 0.000

***

Entry 3:
# UIn3 (PBE, relaxed)
# Energy of formation from the pure elements ... 0.081 eV/atom
# SG ... Imm2
data_UIn3
_cell_length_a 3.028
_cell_length_b 11.094
_cell_length_c 5.987
_cell_angle_alpha 90.00
_cell_angle_beta 90.00
_cell_angle_gamma 90.00
_space_group_name_H-M_alt 'P 1'
_space_group_IT_number 1
loop_
_space_group_symop_operation_xyz
'x,y,z'
loop_
_atom_site_label
_atom_site_type_symbol
_atom_site_fract_x
_atom_site_fract_y
_atom_site_fract_z
U1 U 0.000 0.000 0.000
U2 U 0.500 0.500 0.500
In1 In 0.000 0.254 0.298
In2 In 0.000 0.500 0.996
In3 In 0.000 0.746 0.298
In4 In 0.500 0.000 0.496
In5 In 0.500 0.246 0.798
In6 In 0.500 0.754 0.798

***

Entry 4:
# UIn3 (PBE, relaxed)
# Energy of formation from the pure elements ... -0.002 eV/atom
# SG ... Pm-3m
data_UIn3
_cell_length_a 4.637
_cell_length_b 4.637
_cell_length_c 4.637
_cell_angle_alpha 90.00
_cell_angle_beta 90.00
_cell_angle_gamma 90.00
_space_group_name_H-M_alt 'P 1'
_space_group_IT_number 1
loop_
_space_group_symop_operation_xyz
'x,y,z'
loop_
_atom_site_label
_atom_site_type_symbol
_atom_site_fract_x
_atom_site_fract_y
_atom_site_fract_z
U1 U 0.000 0.000 0.000
In1 In 0.000 0.500 0.500
In2 In 0.500 0.000 0.500
In3 In 0.500 0.500 0.000